First-principles (PBE) data for a relaxed K3TiCr2Se6 crystal, as listed in the Alexandria database.

Output
* crystal system: monoclinic
* space-group type: C2/m

Cell and atoms, written as extended XYZ:
```
12
Lattice="-5.378 3.259 2.363 0.633 -1.085 -6.599 -2.038 -7.218 2.131" Properties=species:S:1:pos:R:3 pbc="T T T"
K -1.381 -3.975 -4.050
K -3.392 -2.522 -1.052
K -5.402 -1.069 1.945
Cr -1.370 0.362 -3.613
Cr -3.375 1.811 -0.624
Ti 0.000 0.000 0.000
Se -2.473 -0.084 0.927
Se -0.447 -1.548 -2.094
Se -6.336 -3.496 -0.011
Se -4.310 -4.960 -3.032
Se -2.980 -5.304 0.572
Se -3.803 0.260 -2.677
```

---

First-principles (PBE) data for a relaxed K4Tm3CrSe8 crystal, as listed in the Alexandria database.

Output
* crystal system: trigonal
* space-group type: R-3m

Cell and atoms, written as extended XYZ:
```
16
Lattice="8.174 0.000 0.000 0.000 8.974 0.557 -4.087 -4.082 5.783" Properties=species:S:1:pos:R:3 pbc="T T T"
Se 4.087 0.470 3.384
Se 6.247 2.628 0.328
Se 0.000 4.421 2.956
Se -2.160 2.264 6.012
Se 4.087 4.411 3.113
Se 0.000 0.481 3.227
Se 1.927 2.628 0.328
Se 2.160 2.264 6.012
Tm 4.087 4.487 0.278
Tm 2.043 2.446 3.170
Tm -2.043 2.446 3.170
K 4.087 0.000 0.000
K 0.000 0.000 0.000
K -2.043 -2.041 2.892
K 2.043 -2.041 2.892
Cr 0.000 4.487 0.278
```

---

First-principles (PBE) data for a relaxed K2TmCrSe4 crystal, as listed in the Alexandria database.

Output
* crystal system: monoclinic
* space-group type: P2/m

Cell and atoms, written as extended XYZ:
```
8
Lattice="4.023 0.000 0.000 0.000 6.914 0.098 0.000 -2.457 7.577" Properties=species:S:1:pos:R:3 pbc="T T T"
Se 0.000 0.017 6.201
Se 2.012 3.200 6.151
Se 0.000 4.439 1.474
Se 2.012 1.257 1.525
Tm 0.000 0.000 0.000
K 2.012 -1.229 3.789
K 0.000 2.228 3.838
Cr 2.012 3.457 0.049
```

---

First-principles (PBE) data for a relaxed K2UCrSe4 crystal, as listed in the Alexandria database.

Output
* crystal system: monoclinic
* space-group type: P2/m

Cell and atoms, written as extended XYZ:
```
8
Lattice="-1.462 0.535 -3.864 1.166 -6.650 -1.362 -7.467 0.576 2.905" Properties=species:S:1:pos:R:3 pbc="T T T"
Cr 0.000 0.000 0.000
Se -5.666 -1.204 1.978
Se -5.858 -4.457 -0.646
Se -0.635 -4.870 -0.434
Se -1.905 -1.083 -1.675
K -3.150 -3.037 0.772
K -4.464 0.555 -0.479
U -0.148 -3.058 -2.613
```

---

First-principles (PBE) data for a relaxed K3U3CrSe8 crystal, as listed in the Alexandria database.

Output
* crystal system: trigonal
* space-group type: R-3m

Cell and atoms, written as extended XYZ:
```
15
Lattice="8.162 0.000 0.000 -4.081 7.068 -0.030 0.000 -4.679 7.927" Properties=species:S:1:pos:R:3 pbc="T T T"
K 0.000 0.000 0.000
K 2.041 3.534 -0.015
K -2.040 3.534 -0.015
Se 0.000 2.365 2.276
Se 6.207 -1.217 2.420
Se 1.956 -1.217 2.419
Se -2.126 3.606 5.477
Se 2.125 3.606 5.478
Se 4.081 2.464 2.404
Se 4.081 0.024 5.621
Se 0.000 -0.075 5.493
U -2.041 1.194 3.948
U 2.041 1.195 3.948
U 4.081 -2.339 3.963
Cr 0.000 -2.339 3.963
```

---

First-principles (PBE) data for a relaxed K3UCr2Se6 crystal, as listed in the Alexandria database.

Output
* crystal system: monoclinic
* space-group type: C2/m

Cell and atoms, written as extended XYZ:
```
12
Lattice="-1.601 4.562 4.895 -1.234 -6.694 1.003 7.919 -0.114 1.076" Properties=species:S:1:pos:R:3 pbc="T T T"
K 2.666 -4.918 2.175
K 2.418 2.672 4.800
K 2.542 -1.123 3.487
Cr -1.356 -2.946 2.299
Cr -1.479 0.813 3.599
Se 0.773 1.450 2.309
Se 4.181 0.272 6.037
Se -0.507 -1.538 4.398
Se 4.311 -3.696 4.665
Se 0.903 -2.518 0.937
Se 5.591 -0.708 2.576
U 0.000 0.000 0.000
```

---

First-principles (PBE) data for a relaxed K2UCr2Se6 crystal, as listed in the Alexandria database.

Output
* crystal system: monoclinic
* space-group type: C2/m

Cell and atoms, written as extended XYZ:
```
11
Lattice="6.653 -0.055 0.070 -3.336 5.756 0.070 -1.131 -1.945 7.858" Properties=species:S:1:pos:R:3 pbc="T T T"
Se 0.643 1.106 2.488
Se -1.772 1.051 5.433
Se 3.958 2.706 2.564
Se 1.790 -1.021 5.433
Se 0.396 4.779 2.564
Se 1.542 2.651 5.509
Cr -0.575 2.849 3.999
Cr 2.761 0.908 3.999
K -1.722 4.818 0.070
K 5.039 0.884 0.070
U -0.566 -0.972 3.929
```

---

First-principles (PBE) data for a relaxed KUCrSe4 crystal, as listed in the Alexandria database.

Output
* crystal system: orthorhombic
* space-group type: Imma

Cell and atoms, written as extended XYZ:
```
14
Lattice="8.069 0.000 0.000 -4.035 6.921 -1.175 0.000 -4.780 7.861" Properties=species:S:1:pos:R:3 pbc="T T T"
Cr -2.017 1.071 3.343
Cr 2.017 1.071 3.343
K 4.035 4.038 -0.237
K 0.000 -1.896 6.922
Se 5.775 -1.166 1.983
Se 1.740 3.307 4.703
Se -1.740 3.307 4.703
Se 4.035 0.302 4.791
Se 2.294 -1.166 1.983
Se 4.035 2.003 1.995
Se 0.000 1.839 1.895
Se 0.000 0.138 4.691
U 4.035 0.000 0.000
U 4.035 -2.390 3.930
```

---

no.,E (eV/atom)
1,-5.2079
2,-4.9424
3,-5.0212
4,-5.6519
5,-6.1013
6,-5.5249
7,-5.8388
8,-6.0219